A plane-wave DFT calculation with PBE was carried out for AcCuSiPd6 after structural relaxation.

Properties
energy relative to the elements, uncorrected	-0.28	eV per atom
crystal system	orthorhombic
DOS(E_F)	2.956	states/eV/f.u.

abc: 6.456 9.377 8.092
angles: 125.41 113.51 90.00
Atoms (fractional coordinates):
Ac  0.165  0.415  0.331
Pd  0.436  0.686  0.871
Pd  0.638  0.355  0.741
Pd  0.919  0.169  0.838
Si  0.500  0.500  0.000
Pd  0.362  0.645  0.259
Si  0.500  0.000  0.000
Pd  0.897  0.645  0.259
Pd  0.103  0.886  0.741
Pd  0.081  0.831  0.162
Pd  0.638  0.886  0.741
Pd  0.897  0.114  0.259
Pd  0.362  0.114  0.259
Pd  0.103  0.355  0.741
Cu  0.500  0.000  0.500
Pd  0.564  0.314  0.129
Ac  0.835  0.585  0.669
Cu  0.000  0.000  0.500

***

A plane-wave DFT calculation with PBE was carried out for Ac2Cu2SiPd4 after structural relaxation.

Properties
energy relative to the elements, uncorrected	-0.56	eV per atom
crystal system	tetragonal
DOS(E_F)	5.634	states/eV/f.u.

abc: 6.291 6.291 6.291
angles: 92.33 118.66 118.66
Atoms (fractional coordinates):
Cu  0.000  0.712  0.712
Ac  0.500  0.750  0.250
Pd  0.451  0.725  0.725
Cu  0.000  0.288  0.288
Pd  0.549  0.275  0.275
Pd  0.000  0.725  0.275
Ac  0.500  0.250  0.750
Si  0.000  0.000  0.000
Pd  0.000  0.275  0.725

***

A plane-wave DFT calculation with PBE was carried out for Ac2CuSi3Pd4 after structural relaxation.

Properties
energy relative to the elements, uncorrected	-0.78	eV per atom
crystal system	tetragonal
DOS(E_F)	5.022	states/eV/f.u.

abc: 4.417 4.417 10.013
angles: 90.00 90.00 90.00
Atoms (fractional coordinates):
Ac  0.500  0.000  0.258
Pd  0.000  0.500  0.370
Si  0.000  0.000  0.500
Cu  0.500  0.500  0.500
Pd  0.500  0.000  0.630
Pd  0.500  0.500  0.000
Pd  0.000  0.000  0.000
Si  0.500  0.000  0.878
Ac  0.000  0.500  0.742
Si  0.000  0.500  0.122

***

A plane-wave DFT calculation with PBE was carried out for AcCu2SiPd2 after structural relaxation.

Properties
energy relative to the elements, uncorrected	-0.21	eV per atom
crystal system	tetragonal
DOS(E_F)	3.096	states/eV/f.u.

abc: 4.427 4.427 5.981
angles: 90.00 90.00 90.00
Atoms (fractional coordinates):
Ac  0.000  0.000  0.500
Cu  0.000  0.500  0.000
Si  0.000  0.000  0.000
Pd  0.500  0.500  0.264
Pd  0.500  0.500  0.736
Cu  0.500  0.000  0.000

***

A plane-wave DFT calculation with PBE was carried out for AcSmCuPd after structural relaxation.

Properties
crystal system	cubic
offset from the most stable computed form	81	meV per atom
DOS(E_F)	3.704	states/eV/f.u.
formation enthalpy at 0 K	-1.60	eV/f.u.

abc: 5.229 5.229 5.229
angles: 60.00 60.00 60.00
Atoms (fractional coordinates):
Ac  0.000  0.000  0.000
Cu  0.250  0.250  0.250
Pd  0.750  0.750  0.750
Sm  0.500  0.500  0.500

***

A plane-wave DFT calculation with PBE was carried out for AcSmCuPd after structural relaxation.

Properties
crystal system	orthorhombic
offset from the most stable computed form	0	meV per atom
DOS(E_F)	3.860	states/eV/f.u.
formation enthalpy at 0 K	-1.93	eV/f.u.

abc: 4.020 4.638 5.936
angles: 90.00 109.79 90.00
Atoms (fractional coordinates):
Cu  0.424  0.000  0.848
Sm  0.866  0.500  0.733
Pd  0.568  0.500  0.135
Ac  0.142  0.000  0.284

***

A plane-wave DFT calculation with PBE was carried out for AcCu2SnPd4 after structural relaxation.

Properties
crystal system	trigonal
DOS(E_F)	3.685	states/eV/f.u.
formation enthalpy at 0 K	-3.49	eV/f.u.

abc: 4.401 4.401 9.303
angles: 76.32 76.32 60.00
Atoms (fractional coordinates):
Sn  0.500  0.500  0.500
Cu  0.759  0.759  0.722
Ac  0.000  0.000  0.000
Cu  0.241  0.241  0.278
Pd  0.599  0.599  0.204
Pd  0.128  0.128  0.617
Pd  0.872  0.872  0.383
Pd  0.401  0.401  0.796

***

A plane-wave DFT calculation with PBE was carried out for Ac2Cu4Sn3Pd after structural relaxation.

Properties
crystal system	tetragonal
DOS(E_F)	4.607	states/eV/f.u.
formation enthalpy at 0 K	-4.44	eV/f.u.

abc: 4.589 4.589 10.455
angles: 90.00 90.00 90.00
Atoms (fractional coordinates):
Sn  0.000  0.500  0.127
Ac  0.500  0.000  0.251
Sn  0.500  0.000  0.873
Pd  0.500  0.500  0.500
Cu  0.500  0.000  0.624
Cu  0.000  0.500  0.376
Cu  0.000  0.000  0.000
Cu  0.500  0.500  0.000
Ac  0.000  0.500  0.749
Sn  0.000  0.000  0.500

***

A plane-wave DFT calculation with PBE was carried out for AcCuSnPd after structural relaxation.

Properties
crystal system	cubic
DOS(E_F)	3.011	states/eV/f.u.
formation enthalpy at 0 K	-1.85	eV/f.u.

abc: 5.051 5.051 5.051
angles: 60.00 60.00 60.00
Atoms (fractional coordinates):
Ac  0.000  0.000  0.000
Pd  0.750  0.750  0.750
Cu  0.250  0.250  0.250
Sn  0.500  0.500  0.500

***

A plane-wave DFT calculation with PBE was carried out for Ac3Cu2SnPd6 after structural relaxation.

Properties
crystal system	trigonal
DOS(E_F)	6.579	states/eV/f.u.
formation enthalpy at 0 K	-6.71	eV/f.u.

abc: 5.964 5.964 8.891
angles: 90.00 90.00 120.00
Atoms (fractional coordinates):
Cu  0.667  0.333  0.963
Pd  0.823  0.177  0.727
Ac  0.667  0.333  0.364
Pd  0.177  0.355  0.273
Cu  0.333  0.667  0.037
Pd  0.177  0.823  0.273
Ac  0.000  0.000  0.000
Pd  0.355  0.177  0.727
Pd  0.645  0.823  0.273
Pd  0.823  0.645  0.727
Sn  0.000  0.000  0.500
Ac  0.333  0.667  0.636

***

A plane-wave DFT calculation with PBE was carried out for AcCuSnPd3 after structural relaxation.

Properties
crystal system	orthorhombic
DOS(E_F)	2.560	states/eV/f.u.
formation enthalpy at 0 K	-3.06	eV/f.u.

abc: 7.248 5.857 6.727
angles: 115.81 90.00 90.00
Atoms (fractional coordinates):
Sn  0.250  0.376  0.751
Sn  0.750  0.624  0.249
Ac  0.750  0.316  0.633
Cu  0.250  0.926  0.852
Pd  0.000  0.746  0.000
Pd  0.500  0.254  0.000
Cu  0.750  0.074  0.148
Pd  0.750  0.847  0.694
Pd  0.500  0.746  0.000
Pd  0.250  0.153  0.306
Pd  0.000  0.254  0.000
Ac  0.250  0.684  0.367

***

A plane-wave DFT calculation with PBE was carried out for Ac2CuSnPd6 after structural relaxation.

Properties
crystal system	triclinic
DOS(E_F)	4.140	states/eV/f.u.
formation enthalpy at 0 K	-5.32	eV/f.u.

abc: 5.837 8.657 5.829
angles: 70.42 60.03 90.06
Atoms (fractional coordinates):
Ac  0.287  0.865  0.423
Pd  0.753  0.755  0.491
Pd  0.247  0.245  0.509
Cu  0.000  0.000  0.000
Pd  0.247  0.244  0.001
Sn  0.500  0.500  0.000
Pd  0.756  0.246  0.999
Ac  0.713  0.135  0.577
Pd  0.753  0.756  0.999
Pd  0.244  0.754  0.001

***

A plane-wave DFT calculation with PBE was carried out for AcCuSn2Pd4 after structural relaxation.

Properties
crystal system	trigonal
DOS(E_F)	4.038	states/eV/f.u.
formation enthalpy at 0 K	-4.73	eV/f.u.

abc: 4.507 4.507 9.554
angles: 76.36 76.36 60.00
Atoms (fractional coordinates):
Sn  0.235  0.235  0.295
Pd  0.596  0.596  0.213
Sn  0.765  0.765  0.705
Pd  0.404  0.404  0.787
Cu  0.500  0.500  0.500
Ac  0.000  0.000  0.000
Pd  0.865  0.865  0.406
Pd  0.135  0.135  0.594

***

A plane-wave DFT calculation with PBE was carried out for Ac3Cu2SnPd9 after structural relaxation.

Properties
crystal system	trigonal
DOS(E_F)	4.839	states/eV/f.u.
formation enthalpy at 0 K	-7.41	eV/f.u.

abc: 5.847 5.847 11.708
angles: 90.00 90.00 120.00
Atoms (fractional coordinates):
Pd  0.336  0.168  0.674
Ac  0.667  0.333  0.248
Pd  0.000  0.500  0.000
Pd  0.832  0.168  0.674
Cu  0.333  0.667  0.163
Pd  0.168  0.832  0.326
Ac  0.000  0.000  0.000
Pd  0.664  0.832  0.326
Pd  0.832  0.664  0.674
Pd  0.500  0.500  0.000
Ac  0.333  0.667  0.752
Pd  0.500  0.000  0.000
Pd  0.168  0.336  0.326
Sn  0.000  0.000  0.500
Cu  0.667  0.333  0.837

***

A plane-wave DFT calculation with PBE was carried out for AcCuSn2Pd5 after structural relaxation.

Properties
crystal system	tetragonal
DOS(E_F)	4.603	states/eV/f.u.
formation enthalpy at 0 K	-1.64	eV/f.u.

abc: 5.073 5.073 7.738
angles: 90.00 90.00 90.00
Atoms (fractional coordinates):
Sn  0.500  0.500  0.824
Pd  0.000  0.500  0.187
Pd  0.500  0.000  0.813
Ac  0.000  0.000  0.500
Pd  0.500  0.000  0.187
Cu  0.000  0.000  0.000
Pd  0.000  0.500  0.813
Sn  0.500  0.500  0.176
Pd  0.500  0.500  0.500

***

A plane-wave DFT calculation with PBE was carried out for SrAcCuPd after structural relaxation.

Properties
crystal system	orthorhombic
offset from the most stable computed form	0	meV per atom
DOS(E_F)	2.546	states/eV/f.u.
formation enthalpy at 0 K	-1.73	eV/f.u.

abc: 4.272 4.512 6.276
angles: 90.00 109.90 90.00
Atoms (fractional coordinates):
Sr  0.141  0.000  0.281
Cu  0.566  0.500  0.131
Ac  0.867  0.500  0.734
Pd  0.427  0.000  0.854

***

A plane-wave DFT calculation with PBE was carried out for SrAcCuPd after structural relaxation.

Properties
crystal system	cubic
offset from the most stable computed form	97	meV per atom
DOS(E_F)	3.591	states/eV/f.u.
formation enthalpy at 0 K	-1.34	eV/f.u.

abc: 5.341 5.341 5.341
angles: 60.00 60.00 60.00
Atoms (fractional coordinates):
Pd  0.750  0.750  0.750
Cu  0.250  0.250  0.250
Ac  0.000  0.000  0.000
Sr  0.500  0.500  0.500

***

A plane-wave DFT calculation with PBE was carried out for SrAcCu2Pd2 after structural relaxation.

Properties
crystal system	trigonal
DOS(E_F)	3.670	states/eV/f.u.
formation enthalpy at 0 K	-2.88	eV/f.u.

abc: 4.440 4.440 8.287
angles: 90.00 90.00 120.00
Atoms (fractional coordinates):
Cu  0.667  0.333  0.751
Sr  0.000  0.000  0.500
Cu  0.333  0.667  0.249
Ac  0.000  0.000  0.000
Pd  0.333  0.667  0.764
Pd  0.667  0.333  0.236

***

A plane-wave DFT calculation with PBE was carried out for AcCuTePd after structural relaxation.

Properties
energy relative to the elements, uncorrected	-0.48	eV per atom
crystal system	cubic
DOS(E_F)	1.602	states/eV/f.u.

abc: 5.098 5.098 5.098
angles: 60.00 60.00 60.00
Atoms (fractional coordinates):
Pd  0.000  0.000  0.000
Ac  0.750  0.750  0.750
Cu  0.500  0.500  0.500
Te  0.250  0.250  0.250

***

A plane-wave DFT calculation with PBE was carried out for AcTlCuPd3 after structural relaxation.

Properties
crystal system	orthorhombic
DOS(E_F)	3.453	states/eV/f.u.
formation enthalpy at 0 K	-1.59	eV/f.u.

abc: 5.792 7.014 7.450
angles: 118.08 90.00 90.00
Atoms (fractional coordinates):
Pd  0.500  0.691  0.000
Cu  0.250  0.364  0.729
Pd  0.000  0.309  0.000
Ac  0.750  0.312  0.624
Pd  0.000  0.691  0.000
Pd  0.750  0.834  0.669
Ac  0.250  0.688  0.376
Pd  0.500  0.309  0.000
Tl  0.250  0.937  0.874
Pd  0.250  0.166  0.331
Tl  0.750  0.063  0.126
Cu  0.750  0.636  0.271

***

A plane-wave DFT calculation with PBE was carried out for Ac2TlCu3Pd12 after structural relaxation.

Properties
crystal system	trigonal
DOS(E_F)	7.405	states/eV/f.u.
formation enthalpy at 0 K	0.02	eV/f.u.

abc: 8.072 8.072 8.072
angles: 61.19 61.19 61.19
Atoms (fractional coordinates):
Ac  0.613  0.613  0.613
Pd  0.630  0.121  0.630
Pd  0.141  0.599  0.141
Pd  0.401  0.859  0.859
Pd  0.859  0.859  0.401
Cu  0.500  0.000  0.000
Pd  0.599  0.141  0.141
Pd  0.630  0.630  0.121
Pd  0.879  0.370  0.370
Pd  0.859  0.401  0.859
Pd  0.370  0.370  0.879
Cu  0.000  0.500  0.000
Cu  0.000  0.000  0.500
Pd  0.370  0.879  0.370
Pd  0.121  0.630  0.630
Tl  0.000  0.000  0.000
Ac  0.387  0.387  0.387
Pd  0.141  0.141  0.599

***

A plane-wave DFT calculation with PBE was carried out for Ac2Tl2CuPd4 after structural relaxation.

Properties
crystal system	tetragonal
DOS(E_F)	4.422	states/eV/f.u.
formation enthalpy at 0 K	-3.81	eV/f.u.

abc: 6.533 6.533 6.533
angles: 98.98 114.96 114.96
Atoms (fractional coordinates):
Tl  0.000  0.310  0.310
Cu  0.000  0.000  0.000
Pd  0.000  0.259  0.741
Tl  0.000  0.690  0.690
Ac  0.500  0.750  0.250
Pd  0.483  0.741  0.741
Pd  0.517  0.259  0.259
Ac  0.500  0.250  0.750
Pd  0.000  0.741  0.259

***

A plane-wave DFT calculation with PBE was carried out for Ac2TlCuPd6 after structural relaxation.

Properties
crystal system	trigonal
DOS(E_F)	3.659	states/eV/f.u.
formation enthalpy at 0 K	-4.68	eV/f.u.

abc: 5.821 8.981 8.980
angles: 37.82 71.08 90.00
Atoms (fractional coordinates):
Pd  0.759  0.744  0.986
Tl  0.000  0.000  0.000
Pd  0.241  0.256  0.014
Cu  0.500  0.500  0.000
Pd  0.744  0.759  0.511
Pd  0.256  0.744  0.986
Ac  0.792  0.208  0.416
Pd  0.744  0.256  0.014
Ac  0.208  0.792  0.584
Pd  0.256  0.241  0.489

***

Spin magnetization, record by record: 0.0 0.0 0.0 0.0 0.0 0.0 0.0 0.0 0.0 0.0 0.0 0.0 0.0 0.0 0.0 0.0 0.0 0.0 0.0 0.0 0.0 0.0 0.0 μB per cell